Record 1
! KZnHg2 | Alexandria via LeMat-Bulk | GGA-PBEsol | optimized geometry; values from VASP
! Energy relative to the elements: -9.30 kJ/mol of atoms
! Space-group type: C2/m (12)
&SYSTEM
  ibrav = 0, nat = 4, ntyp = 3
/
ATOMIC_SPECIES
K 39.10 K.upf
Zn 65.41 Zn.upf
Hg 200.59 Hg.upf
ATOMIC_POSITIONS angstrom
K 0.0000 0.0000 0.0000
Zn 2.7168 0.0000 2.9401
Hg 0.0037 0.0000 3.5569
Hg 5.4298 0.0000 2.3232
CELL_PARAMETERS angstrom
4.0691 -2.3499 0.0000
4.0691 2.3499 0.0000
-2.7047 0.0000 5.8801

Record 2
! MnBeCuH2 | Alexandria via LeMat-Bulk | GGA-PBEsol | optimized geometry; values from VASP
! Space-group type: P4/mmm (123)
&SYSTEM
  ibrav = 0, nat = 5, ntyp = 4
/
ATOMIC_SPECIES
Mn 54.94 Mn.upf
Be 9.01 Be.upf
Cu 63.55 Cu.upf
H 1.01 H.upf
ATOMIC_POSITIONS angstrom
Mn 0.0000 0.0000 0.0000
Be 1.5787 1.5787 0.0000
Cu 0.0000 0.0000 2.4815
H 0.0000 1.5787 2.4815
H 1.5787 0.0000 2.4815
CELL_PARAMETERS angstrom
3.1575 0.0000 0.0000
0.0000 3.1575 0.0000
0.0000 0.0000 4.9631

Record 3
! SrSbOs2 | Alexandria via LeMat-Bulk | GGA-PBEsol | optimized geometry; values from VASP
! Space-group type: Immm (71)
! Formation energy from raw total energies: 87.5 kJ/mol of atoms
&SYSTEM
  ibrav = 0, nat = 4, ntyp = 3
/
ATOMIC_SPECIES
Sr 87.62 Sr.upf
Sb 121.76 Sb.upf
Os 190.23 Os.upf
ATOMIC_POSITIONS angstrom
Sr 0.0000 0.0000 0.0000
Sb 0.0000 0.0000 4.7971
Os 1.5544 0.0000 2.6666
Os 0.0000 2.5872 2.1305
CELL_PARAMETERS angstrom
-1.5544 2.5872 4.7971
1.5544 -2.5872 4.7971
1.5544 2.5872 -4.7971

| no. | electronic total energy (eV/atom) |
| --- | --- |
| 1 | -1.06 |
| 2 | -4.16 |
| 3 | -6.80 |